Record 1
Entry from Alexandria via LeMat-Bulk: LiCrFe2Te after structural relaxation (PBE).

Theoretical density in g/cm3: 7.3
Formation energy without anion corrections in eV per atom: 1.10
D(E_F) in states/eV per cell: 5.98

Structure (POSCAR):
```
LiCrFe2Te
1.0
4.072 0.000 0.000
0.000 4.074 0.000
0.000 0.000 4.072
Cr Fe Te Li
1 2 1 1
Cartesian
0.000 2.037 0.000
0.000 0.000 2.036
2.036 0.000 0.000
2.036 2.037 2.036
0.000 0.000 0.000
```

---

Record 2
Entry from Alexandria via LeMat-Bulk: Sc2AlIr after structural relaxation (PBE).

Theoretical density in g/cm3: 6.9
Excess energy over the best structure of this formula in the dataset in meV per atom: 85
D(E_F) in states/eV per cell: 3.28
Calculated formation energy in eV per atom: -0.67

Structure (POSCAR):
```
Sc2AlIr
1.0
5.763 -0.008 0.018
4.906 3.023 0.018
1.932 0.546 4.280
Sc Al Ir
2 1 1
Cartesian
2.252 0.637 4.125
3.110 0.879 1.098
5.954 1.683 2.327
9.517 2.690 3.204
```

---

Record 3
Entry from Alexandria via LeMat-Bulk: GaPbF2 after structural relaxation (PBE).

Theoretical density in g/cm3: 5.5
Excess energy over the best structure of this formula in the dataset in meV per atom: 213
Formation energy without anion corrections in eV per atom: -1.28
D(E_F) in states/eV per cell: 3.68

Structure (POSCAR):
```
GaPbF2
1.0
-1.348 -5.328 -2.703
-0.349 -2.696 5.488
-5.771 -2.888 1.632
Ga F Pb
2 4 2
Cartesian
-3.484 -4.798 4.257
-0.848 -4.012 1.393
-4.972 -5.233 2.386
-5.805 -9.129 3.544
-2.300 -4.275 -0.537
-1.858 -3.187 3.443
-3.983 -6.114 0.161
0.000 0.000 0.000
```

---

Record 4
Entry from Alexandria via LeMat-Bulk: CaAu2Br after structural relaxation (PBE).

Theoretical density in g/cm3: 7.4
Excess energy over the best structure of this formula in the dataset in meV per atom: 290
Formation energy without anion corrections in eV per atom: -0.59
D(E_F) in states/eV per cell: 0.85

Structure (POSCAR):
```
CaAu2Br
1.0
5.400 -0.193 0.067
-0.545 5.376 -0.067
-1.862 -3.121 3.999
Au Ca Br
2 1 1
Cartesian
4.510 4.815 0.000
3.484 0.174 2.033
0.062 2.479 1.966
2.219 2.369 0.000
```